# PBE LaYS3, relaxed
# E   -5.73 eV/atom
# N(E_F)   0.00 states/eV per cell
# Space-group type   Pm-3m (221)
# Uncorrected formation energy   -0.979 eV/atom
data_LaYS3
_symmetry_space_group_name_H-M 'P 1'
_symmetry_Int_Tables_number 1
_cell_length_a 5.358
_cell_length_b 5.358
_cell_length_c 5.358
_cell_angle_alpha 90.00
_cell_angle_beta 90.00
_cell_angle_gamma 90.00
loop_
_symmetry_equiv_pos_as_xyz
'x,y,z'
loop_
_atom_site_label
_atom_site_type_symbol
_atom_site_fract_x
_atom_site_fract_y
_atom_site_fract_z
Y1 Y 0.500 0.500 0.500
S1 S 0.000 0.500 0.000
S2 S 0.000 0.000 0.500
S3 S 0.500 0.000 0.000
La1 La 0.000 0.000 0.000

***

# PBE Pa2P2Ru5, relaxed
# Formation enthalpy at 0 K   -801 meV/atom
# E   -9.27 eV/atom
# N(E_F)   5.29 states/eV per cell
# Space-group type   P4/mmm (123)
data_Pa2P2Ru5
_symmetry_space_group_name_H-M 'P 1'
_symmetry_Int_Tables_number 1
_cell_length_a 4.104
_cell_length_b 4.104
_cell_length_c 8.651
_cell_angle_alpha 90.00
_cell_angle_beta 90.00
_cell_angle_gamma 90.00
loop_
_symmetry_equiv_pos_as_xyz
'x,y,z'
loop_
_atom_site_label
_atom_site_type_symbol
_atom_site_fract_x
_atom_site_fract_y
_atom_site_fract_z
Pa1 Pa 0.000 0.000 0.000
Pa2 Pa 0.000 0.000 0.500
P1 P 0.500 0.500 0.136
P2 P 0.500 0.500 0.864
Ru1 Ru 0.500 0.000 0.261
Ru2 Ru 0.500 0.000 0.739
Ru3 Ru 0.000 0.500 0.261
Ru4 Ru 0.000 0.500 0.739
Ru5 Ru 0.500 0.500 0.500

***

# PBE PaGe2Ru, relaxed
# Formation enthalpy at 0 K   -244 meV/atom
# E   -7.25 eV/atom
# N(E_F)   4.93 states/eV per cell
# Space-group type   P4/mmm (123)
data_PaGe2Ru
_symmetry_space_group_name_H-M 'P 1'
_symmetry_Int_Tables_number 1
_cell_length_a 3.134
_cell_length_b 3.134
_cell_length_c 7.184
_cell_angle_alpha 90.00
_cell_angle_beta 90.00
_cell_angle_gamma 90.00
loop_
_symmetry_equiv_pos_as_xyz
'x,y,z'
loop_
_atom_site_label
_atom_site_type_symbol
_atom_site_fract_x
_atom_site_fract_y
_atom_site_fract_z
Ru1 Ru 0.500 0.500 0.000
Ge1 Ge 0.000 0.000 0.795
Ge2 Ge 0.000 0.000 0.205
Pa1 Pa 0.500 0.500 0.500

***

# PBE Hf2ReNi, relaxed
# Formation enthalpy at 0 K   -431 meV/atom
# E   -9.97 eV/atom
# Energy above the most stable polymorph in this dataset   4.8 meV/atom
# N(E_F)   4.41 states/eV per cell
# Space-group type   Fm-3m (225)
data_Hf2ReNi
_symmetry_space_group_name_H-M 'P 1'
_symmetry_Int_Tables_number 1
_cell_length_a 4.579
_cell_length_b 4.579
_cell_length_c 4.579
_cell_angle_alpha 60.00
_cell_angle_beta 60.00
_cell_angle_gamma 60.00
loop_
_symmetry_equiv_pos_as_xyz
'x,y,z'
loop_
_atom_site_label
_atom_site_type_symbol
_atom_site_fract_x
_atom_site_fract_y
_atom_site_fract_z
Re1 Re 0.500 0.500 0.500
Hf1 Hf 0.250 0.250 0.250
Hf2 Hf 0.750 0.750 0.750
Ni1 Ni 0.000 0.000 0.000

***

Look up the E of the first one. -5.73 eV/atom

***

Which of these has the lowest N(E_F)? LaYS3